# 1
The following is a PBE calculation of a relaxed structure of BOsRh2N, from Alexandria via LeMat-Bulk.

```
BOsRh2N
1.0
-0.4724 -4.6676 0.3178
0.6470 0.1143 2.6414
-4.5429 0.5340 1.0897
B N Rh Os
1 1 2 1
Direct
0.0000 0.5000 0.0000 B
0.0000 0.0000 0.0000 N
0.5000 0.0000 0.0000 Rh
0.0000 0.0000 0.5000 Rh
0.5000 0.5000 0.5000 Os
```

Summary:
formation energy from raw total energies = 0.50 eV/atom
SG = No. 123


# 2
The following is a PBE calculation of a relaxed structure of BOsS2N, from Alexandria via LeMat-Bulk.

```
BOsS2N
1.0
4.6898 0.0000 0.0000
0.0000 4.6898 0.0000
0.0000 0.0000 2.7476
Os S N B
1 2 1 1
Direct
0.5000 0.5000 0.5000 Os
0.0000 0.5000 0.0000 S
0.5000 0.0000 0.0000 S
0.0000 0.0000 0.5000 N
0.0000 0.0000 0.0000 B
```

Summary:
formation energy from raw total energies = 0.85 eV/atom
SG = No. 123
distance to the lowest polymorph of the same formula = 0.000 eV/atom


# 3
The following is a PBE calculation of a relaxed structure of BOsS2N, from Alexandria via LeMat-Bulk.

```
BOsS2N
1.0
4.7846 0.0000 0.0000
0.0000 4.7846 0.0000
0.0000 0.0000 3.6694
S Os N B
2 1 1 1
Direct
0.0000 0.5000 0.0000 S
0.5000 0.0000 0.0000 S
0.0000 0.0000 0.0000 Os
0.0000 0.0000 0.5000 N
0.5000 0.5000 0.5000 B
```

Summary:
formation energy from raw total energies = 1.31 eV/atom
SG = No. 123
distance to the lowest polymorph of the same formula = 0.460 eV/atom


# 4
The following is a PBE calculation of a relaxed structure of BOsSe2N, from Alexandria via LeMat-Bulk.

```
BOsSe2N
1.0
-2.4622 1.2406 -4.3473
-4.5124 -0.9761 2.2772
-0.1447 2.5738 0.8165
N B Se Os
1 1 2 1
Direct
0.0000 0.0000 0.5000 N
0.0000 0.0000 0.0000 B
0.5000 0.0000 0.0000 Se
0.0000 0.5000 0.0000 Se
0.5000 0.5000 0.5000 Os
```

Summary:
formation energy from raw total energies = 0.77 eV/atom
SG = No. 123
distance to the lowest polymorph of the same formula = 0.000 eV/atom


# 5
The following is a PBE calculation of a relaxed structure of BOsSe2N, from Alexandria via LeMat-Bulk.

```
BOsSe2N
1.0
-0.3511 -4.8548 -1.4614
3.6269 -1.2641 3.3281
-2.5491 -0.5850 2.5557
B Se N Os
1 2 1 1
Direct
0.5000 0.5000 0.5000 B
0.0000 0.5000 0.0000 Se
0.5000 0.0000 0.0000 Se
0.0000 0.0000 0.5000 N
0.0000 0.0000 0.0000 Os
```

Summary:
formation energy from raw total energies = 1.25 eV/atom
SG = No. 123
distance to the lowest polymorph of the same formula = 0.477 eV/atom


# 6
The following is a PBE calculation of a relaxed structure of BTe2OsN, from Alexandria via LeMat-Bulk.

```
BTe2OsN
1.0
5.4270 0.0000 0.0000
0.0000 5.4270 0.0000
0.0000 0.0000 2.8147
Os Te N B
1 2 1 1
Direct
0.5000 0.5000 0.5000 Os
0.5000 0.0000 0.0000 Te
0.0000 0.5000 0.0000 Te
0.0000 0.0000 0.5000 N
0.0000 0.0000 0.0000 B
```

Summary:
formation energy from raw total energies = 0.84 eV/atom
SG = No. 123
distance to the lowest polymorph of the same formula = 0.000 eV/atom


# 7
The following is a PBE calculation of a relaxed structure of BTe2OsN, from Alexandria via LeMat-Bulk.

```
BTe2OsN
1.0
-5.3970 0.5434 -0.2692
-0.4865 -5.3189 -0.9840
-0.2432 -0.6406 3.5830
Te N B Os
2 1 1 1
Direct
0.0000 0.5000 0.0000 Te
0.5000 0.0000 0.0000 Te
0.0000 0.0000 0.5000 N
0.5000 0.5000 0.5000 B
0.0000 0.0000 0.0000 Os
```

Summary:
formation energy from raw total energies = 1.16 eV/atom
SG = No. 123
distance to the lowest polymorph of the same formula = 0.321 eV/atom


# 8
The following is a PBE calculation of a relaxed structure of YBOsN2, from Alexandria via LeMat-Bulk.

```
YBOsN2
1.0
3.9108 0.0000 0.0000
0.0000 4.1470 0.0000
0.0000 0.0000 3.9108
N Os Y B
2 1 1 1
Direct
0.5000 0.0000 0.0000 N
0.0000 0.0000 0.5000 N
0.0000 0.0000 0.0000 Os
0.5000 0.5000 0.5000 Y
0.0000 0.5000 0.0000 B
```

Summary:
formation energy from raw total energies = 0.22 eV/atom
SG = No. 123


# 9
The following is a PBE calculation of a relaxed structure of ZrB2OsN, from Alexandria via LeMat-Bulk.

```
ZrB2OsN
1.0
-1.2601 -3.4589 0.4736
2.7036 -1.3813 -2.8947
2.5428 -0.5643 2.6442
Os B Zr N
1 2 1 1
Direct
0.5000 0.5000 0.5000 Os
0.0000 0.0000 0.5000 B
0.5000 0.0000 0.0000 B
0.0000 0.5000 0.0000 Zr
0.0000 0.0000 0.0000 N
```

Summary:
formation energy from raw total energies = 0.94 eV/atom
SG = No. 123


# 10
The following is a PBE calculation of a relaxed structure of BP3N, from Alexandria via LeMat-Bulk.

```
BP3N
1.0
3.9917 0.0000 0.0000
0.0000 3.9917 0.0000
0.0000 0.0000 3.9917
N P B
1 3 1
Direct
0.0000 0.0000 0.0000 N
0.0000 0.5000 0.0000 P
0.5000 0.0000 0.0000 P
0.0000 0.0000 0.5000 P
0.5000 0.5000 0.5000 B
```

Summary:
formation energy from raw total energies = 1.62 eV/atom
SG = No. 221
distance to the lowest polymorph of the same formula = 0.000 eV/atom


# 11
The following is a PBE calculation of a relaxed structure of B2PN, from Alexandria via LeMat-Bulk.

```
B2PN
1.0
0.0000 2.5586 2.5586
2.5586 0.0000 2.5586
2.5586 2.5586 0.0000
N P B
1 1 2
Direct
0.0000 0.0000 0.0000 N
0.5000 0.5000 0.5000 P
0.7500 0.7500 0.7500 B
0.2500 0.2500 0.2500 B
```

Summary:
formation energy from raw total energies = 2.10 eV/atom
SG = No. 225
distance to the lowest polymorph of the same formula = 2.511 eV/atom


# 12
The following is a PBE calculation of a relaxed structure of B6PN6, from Alexandria via LeMat-Bulk.

```
B6PN6
1.0
4.5794 0.0000 0.0000
0.0000 4.5794 0.0000
0.0000 0.0000 4.5794
N P B
6 1 6
Direct
0.2461 0.5000 0.0000 N
0.7539 0.5000 0.0000 N
0.5000 0.0000 0.7539 N
0.0000 0.2461 0.5000 N
0.0000 0.7539 0.5000 N
0.5000 0.0000 0.2461 N
0.5000 0.5000 0.5000 P
0.5000 0.2559 0.0000 B
0.5000 0.7441 0.0000 B
0.2559 0.0000 0.5000 B
0.0000 0.5000 0.2559 B
0.7441 0.0000 0.5000 B
0.0000 0.5000 0.7441 B
```

Summary:
formation energy from raw total energies = -0.18 eV/atom
SG = No. 200